(1)
The following is a DFT calculation (PBE) of crystalline ThZr2In at its relaxed geometry.

Cell: 3.3452 3.3452 10.6303 Å, 80.94 80.94 60.00°
With the nearest neighbours (Å) after each atom.
Fractional positions:
Th: 0.4999 0.4999 0.5002  6 Zr 3.34-3.35, 6 Th 3.35
Zr: 0.0797 0.0797 0.7607  3 In 3.16, 3 Th 3.34, 6 Zr 3.35
Zr: 0.2537 0.2537 0.2388  3 In 3.15, 6 Zr 3.35, 3 Th 3.35
In: 0.6666 0.6666 0.0003  6 Zr 3.15-3.16, 6 In 3.35

Computed properties:
DFT formation energy = -0.020 eV/atom
energy relative to the lowest polymorph listed for this composition = 142 meV per atom
space group = No. 160

(2)
The following is a DFT calculation (PBE) of crystalline TiIn3 at its relaxed geometry.

Cell: 3.0797 5.2956 5.4472 Å, 90.00 90.00 90.00°
With the nearest neighbours (Å) after each atom.
Fractional positions:
Ti: 0.0000 0.0000 0.0020  2 Ti 3.08, 10 In 3.11-3.18
In: 0.5000 0.0000 0.4986  8 In 3.08-3.24, 4 Ti 3.11-3.15
In: 0.5000 0.5000 0.8420  8 In 3.04-3.24, 4 Ti 3.18
In: 0.0000 0.5000 0.3240  10 In 3.04-3.21, 2 Ti 3.18

Computed properties:
DFT formation energy = 0.045 eV/atom
space group = No. 25

(3)
The following is a DFT calculation (PBE) of crystalline Ti3In2 at its relaxed geometry.

Cell: 4.7043 4.7043 5.6565 Å, 65.43 65.43 60.00°
With the nearest neighbours (Å) after each atom.
Fractional positions:
Ti: 0.0000 0.0000 0.0000  6 In 2.90, 2 Ti 2.92
Ti: 0.8041 0.8041 0.5876  4 Ti 2.85-2.92, 4 In 2.90-3.08
Ti: 0.1959 0.1959 0.4124  4 Ti 2.85-2.92, 4 In 2.90-3.08
In: 0.4026 0.4026 0.7923  7 Ti 2.90-3.08, 1 In 2.90
In: 0.5974 0.5974 0.2077  7 Ti 2.90-3.08, 1 In 2.90

Computed properties:
DFT formation energy = -0.089 eV/atom
energy relative to the lowest polymorph listed for this composition = 0 meV per atom
space group = No. 166

(4)
The following is a DFT calculation (PBE) of crystalline Ti5In4 at its relaxed geometry.

Cell: 3.3268 7.4077 7.4077 Å, 87.11 77.02 77.02°
With the nearest neighbours (Å) after each atom.
Fractional positions:
Ti: 0.6557 0.3443 0.3443  4 Ti 2.80, 4 In 2.99
Ti: 0.3443 0.6557 0.6557  4 Ti 2.80, 4 In 2.99
Ti: 0.0000 0.0000 0.0000  8 In 2.92
Ti: 0.0000 0.6557 0.3443  4 Ti 2.80, 4 In 2.99
Ti: 0.0000 0.3443 0.6557  4 Ti 2.80, 4 In 2.99
In: 0.6662 0.0000 0.6676  6 Ti 2.92-2.99, 2 In 2.94
In: 0.3338 0.3324 0.0000  6 Ti 2.92-2.99, 2 In 2.94
In: 0.3338 0.0000 0.3324  6 Ti 2.92-2.99, 2 In 2.94
In: 0.6662 0.6676 0.0000  6 Ti 2.92-2.99, 2 In 2.94

Computed properties:
DFT formation energy = -0.092 eV/atom
space group = No. 139

What is the formula in the second record?
TiIn3